(1)
VASP calculation (PBE) on crystalline SrPS2Br at its relaxed geometry.

## Properties
Magnetization = 0.00 μB/atom
Raw formation energy = 0.734 eV/f.u.
Relative energy among the computed polymorphs = 0.0 meV/atom
Energy = -3.2571 eV/atom

abc: 4.996 4.996 4.927
angles: 90.00 90.00 90.00
Element x y z (fractional)
Sr 0.000 0.000 0.000
P 0.500 0.500 0.000
S 0.000 0.500 0.500
S 0.500 0.000 0.500
Br 0.500 0.500 0.500

=====

(2)
VASP calculation (PBE) on crystalline Dy2B4O9 at its relaxed geometry.

## Properties
Magnetization = 0.00 μB/atom
Raw formation energy = -43.061 eV/f.u.
Energy = -8.2399 eV/atom

abc: 6.198 6.466 7.507
angles: 102.29 97.16 102.37
Element x y z (fractional)
Dy 0.050 0.090 0.287
Dy 0.386 0.676 0.358
Dy 0.614 0.324 0.642
Dy 0.950 0.910 0.713
B 0.127 0.356 0.651
B 0.161 0.681 0.925
B 0.230 0.334 0.982
B 0.494 0.146 0.190
B 0.506 0.854 0.810
B 0.770 0.666 0.018
B 0.839 0.319 0.075
B 0.873 0.644 0.349
O 0.005 0.789 0.018
O 0.040 0.537 0.747
O 0.079 0.817 0.445
O 0.263 0.263 0.790
O 0.273 0.571 0.041
O 0.281 0.404 0.523
O 0.312 0.867 0.877
O 0.360 0.282 0.143
O 0.430 0.043 0.324
O 0.570 0.957 0.676
O 0.640 0.718 0.857
O 0.688 0.133 0.123
O 0.719 0.596 0.477
O 0.727 0.429 0.959
O 0.737 0.737 0.210
O 0.921 0.183 0.555
O 0.960 0.463 0.253
O 0.995 0.211 0.982

=====

(3)
VASP calculation (PBE) on crystalline Mg4TlIn2 at its relaxed geometry.

## Properties
Magnetization = 0.00 μB/atom
ΔE_f = -16 kJ/mol of formula units
Relative energy among the computed polymorphs = 0.0 meV/atom
Energy = -2.0552 eV/atom

abc: 5.075 5.075 15.255
angles: 90.00 90.00 119.47
Element x y z (fractional)
Mg 0.000 0.000 0.000
Mg 0.000 0.000 0.500
Mg 0.326 0.674 0.645
Mg 0.326 0.674 0.855
Mg 0.343 0.657 0.250
Mg 0.657 0.343 0.750
Mg 0.674 0.326 0.145
Mg 0.674 0.326 0.355
Tl 0.007 0.993 0.250
Tl 0.993 0.007 0.750
In 0.336 0.664 0.058
In 0.336 0.664 0.442
In 0.664 0.336 0.558
In 0.664 0.336 0.942

=====

(4)
VASP calculation (PBE) on crystalline ScTlCl2 at its relaxed geometry.

## Properties
Magnetization = 0.46 μB/atom
Raw formation energy = -1.640 eV/f.u.
Relative energy among the computed polymorphs = 900.7 meV/atom
Energy = -3.5078 eV/atom

abc: 5.173 5.173 5.173
angles: 60.00 60.00 60.00
Element x y z (fractional)
Sc 0.000 0.000 0.000
Tl 0.250 0.250 0.250
Cl 0.500 0.500 0.500
Cl 0.750 0.750 0.750

=====

(5)
VASP calculation (PBE) on crystalline BaU2SbO8 at its relaxed geometry.

## Properties
Magnetization = 0.08 μB/atom
Raw formation energy = -32.035 eV/f.u.
Energy = -8.3602 eV/atom

abc: 5.303 7.184 5.318
angles: 90.00 92.53 90.00
Element x y z (fractional)
Ba 0.000 0.000 0.000
U 0.500 0.255 0.500
U 0.500 0.745 0.500
Sb 0.000 0.500 0.000
O 0.224 0.280 0.226
O 0.224 0.720 0.226
O 0.320 0.500 0.680
O 0.340 0.000 0.662
O 0.660 0.000 0.338
O 0.680 0.500 0.320
O 0.776 0.280 0.774
O 0.776 0.720 0.774

=====

(6)
VASP calculation (PBE) on crystalline NaGa3H at its relaxed geometry.

## Properties
Magnetization = 0.00 μB/atom
Relative energy among the computed polymorphs = 904.9 meV/atom
Energy = -1.6591 eV/atom

abc: 5.375 5.375 5.375
angles: 90.00 90.00 90.00
Element x y z (fractional)
Na 0.000 0.000 0.000
Ga 0.000 0.000 0.500
Ga 0.000 0.500 0.000
Ga 0.500 0.000 0.000
H 0.500 0.500 0.500

=====

(7)
VASP calculation (PBE) on crystalline Sm5CuAg4 at its relaxed geometry.

## Properties
Magnetization = 0.00 μB/atom
ΔE_f = -249 kJ/mol of formula units
Energy = -4.1681 eV/atom

abc: 3.657 3.657 18.694
angles: 90.00 90.00 90.00
Element x y z (fractional)
Sm 0.000 0.000 0.000
Sm 0.000 0.000 0.204
Sm 0.000 0.000 0.408
Sm 0.000 0.000 0.592
Sm 0.000 0.000 0.796
Cu 0.500 0.500 0.500
Ag 0.500 0.500 0.102
Ag 0.500 0.500 0.305
Ag 0.500 0.500 0.695
Ag 0.500 0.500 0.898

=====

(8)
VASP calculation (PBE) on crystalline Li6Y at its relaxed geometry.

## Properties
Magnetization = 0.00 μB/atom
ΔE_f = 254 kJ/mol of formula units
Energy = -2.1874 eV/atom

abc: 5.904 5.904 5.904
angles: 109.47 109.47 109.47
Element x y z (fractional)
Li 0.250 0.500 0.750
Li 0.250 0.750 0.500
Li 0.500 0.250 0.750
Li 0.500 0.750 0.250
Li 0.750 0.250 0.500
Li 0.750 0.500 0.250
Y 0.000 0.000 0.000

=====

(9)
VASP calculation (PBE) on crystalline KIrRu at its relaxed geometry.

## Properties
Magnetization = 0.00 μB/atom
ΔE_f = 227 kJ/mol of formula units
Relative energy among the computed polymorphs = 344.3 meV/atom
Energy = -5.6261 eV/atom

abc: 4.104 4.104 5.561
angles: 90.00 90.00 120.00
Element x y z (fractional)
K 0.000 0.000 0.000
Ir 0.667 0.333 0.500
Ru 0.333 0.667 0.500

=====

(10)
VASP calculation (PBE) on crystalline Re3SiW at its relaxed geometry.

## Properties
Magnetization = 0.44 μB/atom
Raw formation energy = 12.359 eV/f.u.
Relative energy among the computed polymorphs = 1309.1 meV/atom
Energy = -8.6722 eV/atom

abc: 4.748 4.748 4.748
angles: 90.00 90.00 90.00
Element x y z (fractional)
Re 0.000 0.000 0.500
Re 0.000 0.500 0.000
Re 0.500 0.000 0.000
Si 0.500 0.500 0.500
W 0.000 0.000 0.000

=====

(11)
VASP calculation (PBE) on crystalline FeH2Rh at its relaxed geometry.

## Properties
Magnetization = 0.19 μB/atom
Energy = -5.5019 eV/atom

abc: 5.018 5.018 5.018
angles: 31.14 31.14 31.14
Element x y z (fractional)
Fe 0.000 0.000 0.000
H 0.396 0.396 0.396
H 0.610 0.610 0.610
Rh 0.177 0.177 0.177

=====

(12)
VASP calculation (PBE) on crystalline CdBr2Cl at its relaxed geometry.

## Properties
Magnetization = 0.16 μB/atom
Raw formation energy = -1.023 eV/f.u.
Relative energy among the computed polymorphs = 305.1 meV/atom
Energy = -1.7827 eV/atom

abc: 4.593 4.593 8.269
angles: 90.00 90.00 128.48
Element x y z (fractional)
Cd 0.000 0.000 0.000
Br 0.500 0.500 0.218
Br 0.500 0.500 0.782
Cl 0.000 0.000 0.500

=====

(13)
VASP calculation (PBE) on crystalline TbHoCu at its relaxed geometry.

## Properties
Magnetization = 0.00 μB/atom
ΔE_f = -47 kJ/mol of formula units
Relative energy among the computed polymorphs = 0.0 meV/atom
Energy = -4.5979 eV/atom

abc: 6.894 4.899 8.695
angles: 90.00 90.00 90.00
Element x y z (fractional)
Tb 0.015 0.250 0.174
Tb 0.485 0.750 0.674
Tb 0.515 0.250 0.326
Tb 0.985 0.750 0.826
Ho 0.143 0.250 0.585
Ho 0.357 0.750 0.085
Ho 0.643 0.250 0.915
Ho 0.857 0.750 0.415
Cu 0.242 0.250 0.901
Cu 0.258 0.750 0.401
Cu 0.742 0.250 0.599
Cu 0.758 0.750 0.099

=====

(14)
VASP calculation (PBE) on crystalline BaAlGa at its relaxed geometry.

## Properties
Magnetization = 0.00 μB/atom
ΔE_f = -112 kJ/mol of formula units
Energy = -3.2841 eV/atom

abc: 4.505 4.526 8.386
angles: 90.00 90.00 90.00
Element x y z (fractional)
Ba 0.250 0.250 0.181
Ba 0.750 0.750 0.819
Al 0.250 0.750 0.500
Al 0.750 0.250 0.500
Ga 0.250 0.250 0.688
Ga 0.750 0.750 0.312

=====

(15)
VASP calculation (PBE) on crystalline CsPmTi2O6 at its relaxed geometry.

## Properties
Magnetization = 0.00 μB/atom
Raw formation energy = -28.984 eV/f.u.
Energy = -8.0127 eV/atom

abc: 7.928 7.928 6.462
angles: 101.92 101.92 92.28
Element x y z (fractional)
Cs 0.100 0.900 0.750
Cs 0.900 0.100 0.250
Pm 0.288 0.712 0.250
Pm 0.712 0.288 0.750
Ti 0.217 0.370 0.843
Ti 0.370 0.217 0.343
Ti 0.630 0.783 0.657
Ti 0.783 0.630 0.157
O 0.004 0.717 0.270
O 0.229 0.597 0.887
O 0.282 0.358 0.143
O 0.283 0.996 0.230
O 0.358 0.282 0.643
O 0.403 0.771 0.613
O 0.597 0.229 0.387
O 0.642 0.718 0.357
O 0.717 0.004 0.770
O 0.718 0.642 0.857
O 0.771 0.403 0.113
O 0.996 0.283 0.730

=====

(16)
VASP calculation (PBE) on crystalline Pm4Y2Sc at its relaxed geometry.

## Properties
Magnetization = 0.00 μB/atom
ΔE_f = 118 kJ/mol of formula units
Relative energy among the computed polymorphs = 0.0 meV/atom
Energy = -5.2909 eV/atom

abc: 5.488 12.046 13.926
angles: 90.00 90.00 90.00
Element x y z (fractional)
Pm 0.001 0.135 0.179
Pm 0.001 0.240 0.424
Pm 0.001 0.260 0.924
Pm 0.001 0.365 0.679
Pm 0.499 0.635 0.179
Pm 0.499 0.740 0.424
Pm 0.499 0.760 0.924
Pm 0.499 0.865 0.679
Pm 0.501 0.135 0.321
Pm 0.501 0.240 0.076
Pm 0.501 0.260 0.576
Pm 0.501 0.365 0.821
Pm 0.999 0.635 0.321
Pm 0.999 0.740 0.076
Pm 0.999 0.760 0.576
Pm 0.999 0.865 0.821
Y 0.000 0.070 0.656
Y 0.000 0.430 0.156
Y 0.000 0.570 0.844
Y 0.000 0.930 0.344
Y 0.500 0.070 0.844
Y 0.500 0.430 0.344
Y 0.500 0.570 0.656
Y 0.500 0.930 0.156
Sc 0.000 0.000 0.000
Sc 0.000 0.500 0.500
Sc 0.500 0.000 0.500
Sc 0.500 0.500 0.000

=====

(17)
VASP calculation (PBE) on crystalline Ba8NiRh2 at its relaxed geometry.

## Properties
Magnetization = 0.00 μB/atom
ΔE_f = -101 kJ/mol of formula units
Energy = -3.3556 eV/atom

abc: 8.704 8.704 7.752
angles: 90.10 90.10 63.42
Element x y z (fractional)
Ba 0.124 0.124 0.311
Ba 0.127 0.608 0.162
Ba 0.372 0.372 0.695
Ba 0.392 0.873 0.838
Ba 0.608 0.127 0.162
Ba 0.628 0.628 0.305
Ba 0.873 0.392 0.838
Ba 0.876 0.876 0.689
Ni 0.500 0.500 0.000
Rh 0.241 0.241 0.011
Rh 0.759 0.759 0.989

=====

(18)
VASP calculation (PBE) on crystalline KNa2Hg at its relaxed geometry.

## Properties
Magnetization = 0.00 μB/atom
ΔE_f = -18 kJ/mol of formula units
Relative energy among the computed polymorphs = 103.3 meV/atom
Energy = -1.0565 eV/atom

abc: 12.614 12.614 12.614
angles: 156.88 156.88 32.92
Element x y z (fractional)
K 0.000 0.000 0.000
K 0.750 0.250 0.500
Na 0.166 0.625 0.041
Na 0.375 0.416 0.541
Na 0.584 0.125 0.959
Na 0.875 0.834 0.459
Hg 0.250 0.750 0.500
Hg 0.500 0.500 0.000

=====

(19)
VASP calculation (PBE) on crystalline KZnFe4 at its relaxed geometry.

## Properties
Magnetization = 1.80 μB/atom
ΔE_f = 404 kJ/mol of formula units
Energy = -5.3399 eV/atom

abc: 5.133 5.133 5.133
angles: 60.00 60.00 60.00
Element x y z (fractional)
K 0.000 0.000 0.000
Zn 0.750 0.750 0.750
Fe 0.376 0.376 0.376
Fe 0.376 0.376 0.872
Fe 0.376 0.872 0.376
Fe 0.872 0.376 0.376

=====

(20)
VASP calculation (PBE) on crystalline GaSnF3 at its relaxed geometry.

## Properties
Magnetization = 0.00 μB/atom
Raw formation energy = -7.892 eV/f.u.
Energy = -4.1070 eV/atom

abc: 4.186 4.186 4.186
angles: 90.00 90.00 90.00
Element x y z (fractional)
Ga 0.000 0.000 0.000
Sn 0.500 0.500 0.500
F 0.000 0.000 0.500
F 0.000 0.500 0.000
F 0.500 0.000 0.000

=====

(21)
VASP calculation (PBE) on crystalline Mg2AgBr at its relaxed geometry.

## Properties
Magnetization = 0.00 μB/atom
Raw formation energy = -0.074 eV/f.u.
Relative energy among the computed polymorphs = 436.8 meV/atom
Energy = -1.9468 eV/atom

abc: 5.082 5.082 5.082
angles: 60.00 60.00 60.00
Element x y z (fractional)
Mg 0.250 0.250 0.250
Mg 0.750 0.750 0.750
Ag 0.000 0.000 0.000
Br 0.500 0.500 0.500

=====

(22)
VASP calculation (PBE) on crystalline Hg2AsAu at its relaxed geometry.

## Properties
Magnetization = 0.00 μB/atom
ΔE_f = 76 kJ/mol of formula units
Relative energy among the computed polymorphs = 71.3 meV/atom
Energy = -1.9350 eV/atom

abc: 3.142 3.142 10.911
angles: 90.00 90.00 123.39
Element x y z (fractional)
Hg 0.000 0.000 0.000
Hg 0.500 0.500 0.281
As 0.500 0.500 0.727
Au 0.000 0.000 0.520